No. 1
# Sr2ZrSe | Alexandria via LeMat-Bulk | PBE | optimized geometry
data_Sr2ZrSe
_cell_length_a 6.792
_cell_length_b 9.463
_cell_length_c 3.759
_cell_angle_alpha 90.00
_cell_angle_beta 90.00
_cell_angle_gamma 90.00
_space_group_name_H-M_alt 'C m m m'
_space_group_IT_number 65
_space_group_name_Hall '-C 2 2'
loop_
_atom_site_label
_atom_site_fract_x
_atom_site_fract_y
_atom_site_fract_z
Sr1 0.250 0.250 0.000
Zr1 0.000 0.000 0.500
Se1 0.000 0.500 0.500
# * formation energy (no corrections): -0.51 eV/f.u.
# * E: -3.977 eV/atom
# * D(E_F): 9.51 states/eV/cell

***

No. 2
# Sr3ZrSe | Alexandria via LeMat-Bulk | PBE | optimized geometry
data_Sr3ZrSe
_cell_length_a 5.988
_cell_length_b 5.988
_cell_length_c 5.988
_cell_angle_alpha 90.00
_cell_angle_beta 90.00
_cell_angle_gamma 90.00
_space_group_name_H-M_alt 'P m -3 m'
_space_group_IT_number 221
_space_group_name_Hall '-P 4 2 3'
loop_
_atom_site_label
_atom_site_fract_x
_atom_site_fract_y
_atom_site_fract_z
Sr1 0.000 0.000 0.500
Zr1 0.000 0.000 0.000
Se1 0.500 0.500 0.500
# * energy above the most stable polymorph in this dataset: 797 meV/atom
# * formation energy (no corrections): 3.13 eV/f.u.
# * E: -2.790 eV/atom
# * D(E_F): 8.18 states/eV/cell

***

No. 3
# SrZr2Se2 | Alexandria via LeMat-Bulk | PBE | optimized geometry
data_SrZr2Se2
_cell_length_a 4.118
_cell_length_b 4.118
_cell_length_c 14.581
_cell_angle_alpha 90.00
_cell_angle_beta 90.00
_cell_angle_gamma 90.00
_space_group_name_H-M_alt 'I 4/m m m'
_space_group_IT_number 139
_space_group_name_Hall '-I 4 2'
loop_
_atom_site_label
_atom_site_fract_x
_atom_site_fract_y
_atom_site_fract_z
Sr1 0.000 0.000 0.000
Zr1 0.000 0.500 0.250
Se1 0.000 0.000 0.384
# * formation energy (no corrections): -5.40 eV/f.u.
# * E: -6.230 eV/atom
# * D(E_F): 3.45 states/eV/cell

***

Which of these has the lowest formation energy (no corrections)?
SrZr2Se2